Record 1
MoP2Se, relaxed, DFT PBE; theoretical density = 5712 kg/m³; E_tot = -6.17 eV per atom
1.0
4.703 0.000 0.000
0.000 3.441 -0.004
0.000 0.831 4.253
Mo P Se
1 2 1
Direct
0.500 0.750 0.750
0.000 0.957 0.915
0.000 0.543 0.585
0.500 0.250 0.250



Record 2
MoP2Se, relaxed, DFT PBE; theoretical density = 5904 kg/m³; E_tot = -5.94 eV per atom
1.0
4.519 0.026 0.057
-1.630 4.215 0.057
1.095 1.607 3.533
Mo P Se
1 2 1
Direct
0.000 0.500 0.500
0.000 0.000 0.000
0.500 0.500 0.000
0.500 0.000 0.500



Record 3
MoP2Se, relaxed, DFT PBE; theoretical density = 6250 kg/m³; E_tot = -6.23 eV per atom
1.0
-2.567 -1.411 1.171
-0.855 -0.861 -2.911
3.252 -5.388 0.638
P Se Mo
2 1 1
Direct
0.000 0.000 0.545
0.000 0.000 0.955
0.500 0.500 0.250
0.500 0.500 0.750



Record 4
MoPSe2, relaxed, DFT PBE; theoretical density = 6062 kg/m³; E_tot = -5.71 eV per atom
1.0
4.404 0.000 0.000
0.000 4.298 -0.001
0.000 1.554 4.122
Mo Se P
1 2 1
Direct
0.000 0.460 0.439
0.500 0.696 0.648
0.000 0.075 0.053
0.500 0.268 0.360



Record 5
SrMoPSe2, relaxed, DFT PBE; theoretical density = 4377 kg/m³; E_tot = -4.28 eV per atom
1.0
-4.634 0.385 2.131
1.092 -4.254 3.144
1.902 3.128 3.572
Se P Sr Mo
2 1 1 1
Direct
0.500 0.000 0.000
0.000 0.000 0.500
0.000 0.000 0.000
0.000 0.500 0.000
0.500 0.500 0.500



Record 6
ZnMo2PSe, relaxed, DFT PBE; theoretical density = 6693 kg/m³; E_tot = -5.67 eV per atom
1.0
4.599 0.000 0.000
0.000 4.308 0.000
0.000 0.000 4.599
P Se Mo Zn
1 1 2 1
Direct
0.000 0.000 0.000
0.500 0.500 0.500
0.000 0.000 0.500
0.500 0.000 0.000
0.000 0.500 0.000



Record 7
Si4Mo2P3, relaxed, DFT PBE; theoretical density = 4821 kg/m³; E_tot = -6.60 eV per atom
1.0
-4.714 0.928 -2.791
1.948 -5.594 -5.150
-2.596 -5.239 2.643
P Si Mo
6 8 4
Direct
0.911 0.784 0.674
0.589 0.784 0.174
0.411 0.216 0.826
0.089 0.216 0.326
0.000 0.500 0.500
0.500 0.500 0.000
0.615 0.568 0.636
0.385 0.432 0.364
0.885 0.568 0.136
0.046 0.077 0.822
0.546 0.923 0.678
0.115 0.432 0.864
0.954 0.923 0.178
0.454 0.077 0.322
0.283 0.761 0.440
0.717 0.239 0.560
0.217 0.761 0.940
0.783 0.239 0.060



Record 8
SiMoP3, relaxed, DFT PBE; theoretical density = 3497 kg/m³; E_tot = -5.69 eV per atom
1.0
-2.081 4.201 0.037
-4.200 -2.081 0.084
0.092 0.004 4.687
Mo P Si
1 3 1
Direct
0.000 0.000 0.000
0.000 0.000 0.500
0.000 0.500 0.000
0.500 0.000 0.000
0.500 0.500 0.500



Record 9
Si2Mo2P, relaxed, DFT PBE; theoretical density = 6238 kg/m³; E_tot = -7.75 eV per atom
1.0
-6.082 2.115 -1.525
0.365 -3.140 -5.813
-1.324 -2.783 1.420
Si Mo P
4 4 2
Direct
0.133 0.633 0.500
0.367 0.133 0.500
0.867 0.367 0.500
0.633 0.867 0.500
0.336 0.836 0.000
0.664 0.164 0.000
0.836 0.664 0.000
0.164 0.336 0.000
0.000 0.000 0.000
0.500 0.500 0.000



Record 10
Si3MoP2, relaxed, DFT PBE; theoretical density = 3903 kg/m³; E_tot = -6.36 eV per atom
1.0
-1.984 -2.483 1.046
4.789 -3.717 0.261
1.620 2.763 9.629
Mo P Si
2 4 6
Direct
0.000 0.025 0.551
0.000 0.525 0.449
0.500 0.480 0.082
0.000 0.456 0.702
0.000 0.956 0.298
0.500 0.980 0.918
0.500 0.183 0.728
0.500 0.683 0.272
0.000 0.839 0.788
0.500 0.218 0.405
0.500 0.718 0.595
0.000 0.339 0.212



Record 11
SiMoP2, relaxed, DFT PBE; theoretical density = 5487 kg/m³; E_tot = -6.39 eV per atom
1.0
-3.138 -3.122 -1.948
1.006 -1.203 -4.575
2.538 0.151 4.114
P Si Mo
2 1 1
Direct
0.000 0.000 0.000
0.250 0.750 0.500
0.500 0.500 0.000
0.750 0.250 0.500



Record 12
SiMoP2, relaxed, DFT PBE; theoretical density = 5237 kg/m³; E_tot = -6.82 eV per atom
1.0
-4.743 -0.897 4.805
-4.100 -3.891 3.799
-2.178 -2.470 5.962
Mo Si P
1 1 2
Direct
0.750 0.750 0.750
0.250 0.250 0.250
0.503 0.503 0.503
0.997 0.997 0.997